A relaxed Sn3I2O2 crystal, computed with PBE-GGA.

## Properties
As for the space group: P2_1/c. For the formation energy (no corrections), the calculation gives -0.8247 eV/atom.

a b c (Å): 7.6023 9.0292 7.1064
angles (deg): 90.00 64.22 90.00
Fractional coordinates of all 14 atoms:
Sn 0.5000 0.5000 0.0000
I 0.9353 0.6523 0.8163
I 0.0647 0.3477 0.1837
O 0.9656 0.9517 0.3364
Sn 0.8125 0.1092 0.5735
O 0.5344 0.4517 0.6636
O 0.4656 0.5483 0.3364
I 0.5647 0.1523 0.1837
Sn 0.6875 0.6092 0.4265
Sn 0.1875 0.8908 0.4265
I 0.4353 0.8477 0.8163
Sn 0.3125 0.3908 0.5735
O 0.0344 0.0483 0.6636
Sn 0.0000 0.0000 0.0000

A relaxed ErLuTiTl crystal, computed with PBE-GGA.

## Properties
As for the space group: F-43m. For the energy relative to the elements, the calculation gives 0.012 eV per atom.

a b c (Å): 5.2063 5.2063 5.2063
angles (deg): 60.00 60.00 60.00
Last column: magnetic moment on the atom in μB.
Fractional coordinates of all 4 atoms:
Lu 0.5000 0.5000 0.5000  -0.31
Ti 0.2500 0.2500 0.2500  -1.66
Tl 0.7500 0.7500 0.7500  0.03
Er 0.0000 0.0000 0.0000  -0.38

A relaxed Tm2ScTl3Se6 crystal, computed with PBE-GGA.

## Properties
As for the space group: C2/m. For the formation energy (no corrections), the calculation gives -1.3328 eV/atom.

a b c (Å): 7.0701 7.0701 8.1175
angles (deg): 98.35 98.35 119.97
Fractional coordinates of all 12 atoms:
Tl 0.5000 0.5000 0.5000
Tl 0.1692 0.8308 0.5000
Se 0.0661 0.3902 0.1982
Tm 0.6664 0.3336 0.0000
Se 0.3902 0.0661 0.1982
Se 0.2575 0.2575 0.7993
Se 0.6098 0.9339 0.8018
Se 0.9339 0.6098 0.8018
Tm 0.3336 0.6664 0.0000
Se 0.7425 0.7425 0.2007
Tl 0.8308 0.1692 0.5000
Sc 0.0000 0.0000 0.0000

A relaxed Ac2Cd2Au15 crystal, computed with PBE-GGA.

## Properties
As for the space group: R-3m. For the energy relative to the elements, the calculation gives -0.352 eV per atom.

a b c (Å): 7.4426 7.4426 7.4426
angles (deg): 81.60 81.60 81.60
Fractional coordinates of all 19 atoms:
Au 0.6431 0.1563 0.6431
Au 0.6977 0.0000 0.3023
Cd 0.8994 0.8994 0.8994
Au 0.3023 0.0000 0.6977
Ac 0.3463 0.3463 0.3463
Au 0.3569 0.3569 0.8437
Au 0.1563 0.6431 0.6431
Au 0.5000 0.0000 0.0000
Au 0.8437 0.3569 0.3569
Au 0.0000 0.3023 0.6977
Ac 0.6537 0.6537 0.6537
Au 0.0000 0.0000 0.5000
Au 0.3569 0.8437 0.3569
Cd 0.1006 0.1006 0.1006
Au 0.6977 0.3023 0.0000
Au 0.6431 0.6431 0.1563
Au 0.0000 0.6977 0.3023
Au 0.3023 0.6977 0.0000
Au 0.0000 0.5000 0.0000

A relaxed Rb12AuO4 crystal, computed with PBE-GGA.

## Properties
As for the space group: Immm. For the formation energy (no corrections), the calculation gives -0.6711 eV/atom.

a b c (Å): 9.7113 9.7113 9.7113
angles (deg): 109.47 109.46 109.49
Fractional coordinates of all 17 atoms:
Rb 0.2778 0.7103 0.9882
Rb 0.2778 0.2897 0.5675
O 0.5000 0.5000 0.5000
O 0.0000 0.5000 0.0000
Rb 0.7900 0.0130 0.2230
Rb 0.2100 0.4330 0.2230
Rb 0.5115 0.2223 0.2892
Au 0.0000 0.5000 0.5000
O 0.0000 0.0000 0.5000
Rb 0.0668 0.7777 0.2892
O 0.5000 0.0000 0.0000
Rb 0.9332 0.2223 0.7108
Rb 0.7222 0.7103 0.4325
Rb 0.2100 0.9870 0.7770
Rb 0.7900 0.5670 0.7770
Rb 0.7222 0.2897 0.0118
Rb 0.4885 0.7777 0.7108

A relaxed BeReCl2 crystal, computed with PBE-GGA.

## Properties
As for the space group: P4mm. The energy above the most stable polymorph in this dataset is 334 meV/atom. For the formation energy (no corrections), the calculation gives 0.2340 eV/atom.

a b c (Å): 3.0485 3.0485 7.6959
angles (deg): 90.00 90.00 90.00
Fractional coordinates of all 4 atoms:
Cl 0.0000 0.0000 0.8826
Be 0.5000 0.5000 0.7021
Re 0.0000 0.0000 0.5690
Cl 0.5000 0.5000 0.3463

A relaxed TaAgP2 crystal, computed with PBE-GGA.

## Properties
As for the space group: F-43m. The energy above the most stable polymorph in this dataset is 702 meV/atom. For the energy relative to the elements, the calculation gives 0.559 eV per atom.

a b c (Å): 4.5062 4.5062 4.5062
angles (deg): 60.00 60.00 60.00
Fractional coordinates of all 4 atoms:
P 0.2500 0.2500 0.2500
P 0.0000 0.0000 0.0000
Ag 0.5000 0.5000 0.5000
Ta 0.7500 0.7500 0.7500

A relaxed Cs2TbHgCl6 crystal, computed with PBE-GGA.

## Properties
As for the space group: Pmmn. For the formation energy (no corrections), the calculation gives -1.7702 eV/atom.

a b c (Å): 7.9523 7.9544 11.2217
angles (deg): 90.00 90.00 90.00
Fractional coordinates of all 20 atoms:
Cl 0.0000 0.7512 0.7638
Cl 0.2641 0.0140 0.5000
Cl 0.5000 0.2488 0.2638
Hg 0.0000 0.7491 0.5000
Cl 0.5000 0.2488 0.7362
Cl 0.2644 0.4852 0.5000
Cl 0.7359 0.0140 0.5000
Cs 0.0000 0.2493 0.7497
Hg 0.5000 0.2509 0.0000
Cl 0.2359 0.9860 0.0000
Cl 0.7356 0.4852 0.5000
Tb 0.5000 0.2494 0.5000
Cs 0.5000 0.7507 0.7503
Cl 0.0000 0.7512 0.2362
Tb 0.0000 0.7506 0.0000
Cs 0.5000 0.7507 0.2497
Cs 0.0000 0.2493 0.2503
Cl 0.7641 0.9860 0.0000
Cl 0.2356 0.5148 0.0000
Cl 0.7644 0.5148 0.0000

A relaxed CeThMg17 crystal, computed with PBE-GGA.

## Properties
As for the space group: R3m. For the energy relative to the elements, the calculation gives 0.001 eV per atom.

a b c (Å): 7.7814 7.7814 7.7814
angles (deg): 82.26 82.26 82.26
Last column: magnetic moment on the atom in μB.
Fractional coordinates of all 19 atoms:
Mg 0.6977 0.3028 0.9993  0.00
Mg 0.6977 0.9993 0.3028  0.00
Mg 0.3028 0.6977 0.9993  0.00
Th 0.6704 0.6704 0.6704  0.00
Mg 0.9993 0.3028 0.6977  0.00
Mg 0.5011 0.9985 0.9985  0.00
Mg 0.9993 0.6977 0.3028  0.00
Mg 0.3525 0.3525 0.8388  0.00
Mg 0.8388 0.3525 0.3525  0.00
Ce 0.3316 0.3316 0.3316  1.02
Mg 0.6487 0.1596 0.6487  0.00
Mg 0.9985 0.5011 0.9985  0.00
Mg 0.3028 0.9993 0.6977  0.00
Mg 0.3525 0.8388 0.3525  0.00
Mg 0.9007 0.9007 0.9007  0.00
Mg 0.9985 0.9985 0.5011  0.00
Mg 0.6487 0.6487 0.1596  0.00
Mg 0.0989 0.0989 0.0989  0.00
Mg 0.1596 0.6487 0.6487  0.00

A relaxed La15MgTl4 crystal, computed with PBE-GGA.

## Properties
As for the space group: P4/mmm. For the energy relative to the elements, the calculation gives -0.197 eV per atom.

a b c (Å): 5.0842 5.0842 25.3819
angles (deg): 90.00 90.00 90.00
Fractional coordinates of all 20 atoms:
La 0.5000 0.0000 0.1012
La 0.5000 0.0000 0.6992
La 0.5000 0.5000 0.4008
La 0.5000 0.5000 0.0000
La 0.5000 0.5000 0.5992
La 0.0000 0.5000 0.3008
Mg 0.0000 0.0000 0.0000
La 0.0000 0.5000 0.1012
La 0.5000 0.5000 0.7999
La 0.0000 0.5000 0.6992
La 0.0000 0.5000 0.8988
Tl 0.0000 0.0000 0.5998
Tl 0.0000 0.0000 0.7994
La 0.5000 0.0000 0.8988
La 0.5000 0.5000 0.2001
Tl 0.0000 0.0000 0.4002
Tl 0.0000 0.0000 0.2006
La 0.0000 0.5000 0.5000
La 0.5000 0.0000 0.5000
La 0.5000 0.0000 0.3008

A relaxed SrLi2RuF8 crystal, computed with PBE-GGA.

## Properties
As for the space group: P-1. For the formation energy (no corrections), the calculation gives -2.6596 eV/atom.

a b c (Å): 4.8041 4.9281 7.1553
angles (deg): 87.05 87.32 81.84
Last column: magnetic moment on the atom in μB.
Fractional coordinates of all 12 atoms:
F 0.2635 0.2506 0.9790  0.15
F 0.7365 0.7494 0.0210  0.15
F 0.3317 0.3173 0.4989  0.00
Ru 0.0000 0.0000 0.0000  1.51
F 0.7915 0.2123 0.7923  0.02
F 0.6683 0.6827 0.5011  0.00
Sr 0.0000 0.0000 0.5000  0.00
F 0.2076 0.7856 0.7947  0.02
Li 0.4823 0.4829 0.7043  0.00
F 0.7924 0.2144 0.2053  0.02
F 0.2085 0.7877 0.2077  0.02
Li 0.5177 0.5171 0.2957  0.00

A relaxed LiPaCuSb crystal, computed with PBE-GGA.

## Properties
As for the space group: F-43m. For the formation energy (no corrections), the calculation gives -0.0971 eV/atom.

a b c (Å): 4.9452 4.9452 4.9452
angles (deg): 60.00 60.00 60.00
Last column: magnetic moment on the atom in μB.
Fractional coordinates of all 4 atoms:
Pa 0.0000 0.0000 0.0000  0.95
Li 0.5000 0.5000 0.5000  0.02
Sb 0.7500 0.7500 0.7500  0.00
Cu 0.2500 0.2500 0.2500  -0.01

A relaxed YBeAg2O crystal, computed with PBE-GGA.

## Properties
As for the space group: P4/mmm. For the formation energy (no corrections), the calculation gives 1.7720 eV/atom.

a b c (Å): 5.5454 5.3583 5.5454
angles (deg): 90.00 90.00 90.00
Fractional coordinates of all 5 atoms:
Be 0.0000 0.5000 0.0000
Ag 0.5000 0.0000 0.0000
Y 0.0000 0.0000 0.0000
Ag 0.0000 0.0000 0.5000
O 0.5000 0.5000 0.5000

A relaxed Cr2ReHg crystal, computed with PBE-GGA.

## Properties
As for the space group: Cmm2. For the energy relative to the elements, the calculation gives 0.508 eV per atom.

a b c (Å): 2.6997 2.6997 8.8877
angles (deg): 90.00 90.00 111.94
Fractional coordinates of all 4 atoms:
Cr 0.0000 0.0000 0.0142
Hg 0.0000 0.0000 0.4881
Re 0.5000 0.5000 0.7843
Cr 0.5000 0.5000 0.2134

A relaxed Li2ZnPd crystal, computed with PBE-GGA.

## Properties
As for the space group: R-3m. For the energy relative to the elements, the calculation gives -0.125 eV per atom.

a b c (Å): 2.7472 2.7472 9.4801
angles (deg): 81.67 81.67 60.00
Fractional coordinates of all 4 atoms:
Li 0.9149 0.9149 0.2552
Zn 0.5000 0.5000 0.5000
Li 0.0851 0.0851 0.7448
Pd 0.0000 0.0000 0.0000